Entry 1:
A relaxed MgBeC2Se crystal, computed with PBE.

raw formation energy	2.02	eV/atom
energy above the most stable polymorph in this dataset	0.0	meV per atom

Cell: 4.174 4.061 4.174 Å, 90.00 90.00 90.00°
Fractional positions:
Be: 0.000 0.500 0.000
Mg: 0.500 0.500 0.500
C: 0.000 0.000 0.500
C: 0.500 0.000 0.000
Se: 0.000 0.000 0.000

***

Entry 2:
A relaxed Y2MgBeC crystal, computed with PBE.

VASP energy	-27.7	eV/cell

Cell: 5.161 5.161 3.569 Å, 90.00 90.00 90.00°
Fractional positions:
Y: 0.000 0.500 0.000
Y: 0.500 0.000 0.000
Be: 0.000 0.000 0.500
Mg: 0.500 0.500 0.500
C: 0.000 0.000 0.000

***

Entry 3:
A relaxed MnBe3C crystal, computed with PBE.

energy above the most stable polymorph in this dataset	0.0	meV per atom

Cell: 3.489 3.489 3.489 Å, 90.00 90.00 90.00°
Fractional positions:
Be: 0.000 0.500 0.000
Be: 0.000 0.000 0.500
Be: 0.500 0.000 0.000
C: 0.000 0.000 0.000
Mn: 0.500 0.500 0.500

***

Entry 4:
A relaxed Mn2BeC crystal, computed with PBE.

energy above the most stable polymorph in this dataset	0.0	meV per atom

Cell: 2.764 2.764 6.105 Å, 76.92 76.92 60.00°
Each line ends with the local moment (μB).
Fractional positions:
Mn: 0.063 0.063 0.811  1.93
Mn: 0.271 0.271 0.188  1.74
Be: 0.500 0.500 0.500  -0.08
C: 0.666 0.666 0.001  -0.15

***

Entry 5:
A relaxed MnBeC2 crystal, computed with PBE.

VASP energy	-57.0	eV/cell

Cell: 4.288 4.288 5.187 Å, 65.58 65.58 90.00°
Each line ends with the local moment (μB).
Fractional positions:
Be: 0.500 0.500 0.000  0.01
Be: 0.250 0.750 0.500  0.01
C: 0.635 0.125 0.250  -0.08
C: 0.115 0.625 0.250  -0.08
C: 0.375 0.365 0.750  -0.08
C: 0.875 0.885 0.750  -0.08
Mn: 0.000 0.000 0.000  1.07
Mn: 0.750 0.250 0.500  1.05

***

Entry 6:
A relaxed MnBeC crystal, computed with PBE.

VASP energy	-126.6	eV/cell

Cell: 5.467 5.467 6.210 Å, 90.00 90.00 120.00°
Each line ends with the local moment (μB).
Fractional positions:
Be: 0.929 0.387 0.750  0.00
Be: 0.459 0.071 0.750  0.00
Be: 0.613 0.541 0.750  0.00
Be: 0.387 0.929 0.250  0.00
Be: 0.071 0.459 0.250  0.00
Be: 0.541 0.613 0.250  0.00
Mn: 0.000 0.000 0.750  2.79
Mn: 0.000 0.000 0.250  2.79
Mn: 0.333 0.667 0.953  -0.57
Mn: 0.333 0.667 0.547  -0.57
Mn: 0.667 0.333 0.047  -0.57
Mn: 0.667 0.333 0.453  -0.57
C: 0.000 0.300 0.000  -0.03
C: 0.300 0.000 0.000  -0.03
C: 0.700 0.700 0.000  -0.03
C: 0.000 0.300 0.500  -0.03
C: 0.300 0.000 0.500  -0.03
C: 0.700 0.700 0.500  -0.03

***

Entry 7:
A relaxed MnBe3C crystal, computed with PBE.

energy above the most stable polymorph in this dataset	1641.5	meV per atom

Cell: 4.002 4.002 4.002 Å, 90.00 90.00 90.00°
Each line ends with the local moment (μB).
Fractional positions:
Be: 0.000 0.500 0.000  0.01
Be: 0.000 0.000 0.500  0.00
Be: 0.500 0.000 0.000  -0.02
C: 0.500 0.500 0.500  -0.15
Mn: 0.000 0.000 0.000  1.38

***

Entry 8:
A relaxed Mn2BeC crystal, computed with PBE.

energy above the most stable polymorph in this dataset	175.5	meV per atom

Cell: 6.402 6.402 4.885 Å, 49.06 49.06 90.00°
Fractional positions:
Be: 0.500 0.500 0.000
Be: 0.250 0.750 0.500
C: 0.000 0.000 0.000
C: 0.750 0.250 0.500
Mn: 0.725 0.125 0.250
Mn: 0.025 0.625 0.250
Mn: 0.375 0.275 0.750
Mn: 0.875 0.975 0.750

***

Entry 9:
A relaxed Mn3Be3C crystal, computed with PBE.

VASP energy	-198.1	eV/cell

Cell: 7.051 7.051 7.051 Å, 60.00 60.00 60.00°
Each line ends with the local moment (μB).
Fractional positions:
Mn: 0.049 0.451 0.049  1.09
Mn: 0.201 0.201 0.799  1.09
Mn: 0.799 0.799 0.201  1.09
Mn: 0.799 0.201 0.799  1.09
Mn: 0.799 0.201 0.201  1.09
Mn: 0.201 0.799 0.799  1.09
Mn: 0.451 0.049 0.049  1.09
Mn: 0.049 0.049 0.451  1.09
Mn: 0.451 0.451 0.049  1.09
Mn: 0.049 0.451 0.451  1.09
Mn: 0.201 0.799 0.201  1.09
Mn: 0.451 0.049 0.451  1.09
Be: 0.834 0.834 0.834  -0.05
Be: 0.416 0.416 0.751  -0.05
Be: 0.416 0.751 0.416  -0.05
Be: 0.751 0.416 0.416  -0.05
Be: 0.834 0.499 0.834  -0.05
Be: 0.499 0.834 0.834  -0.05
Be: 0.834 0.834 0.499  -0.05
Be: 0.416 0.416 0.416  -0.05
Be: 0.625 0.625 0.625  -0.05
Be: 0.625 0.625 0.125  -0.05
Be: 0.625 0.125 0.625  -0.05
Be: 0.125 0.625 0.625  -0.05
C: 0.125 0.125 0.125  -0.08
C: 0.125 0.125 0.625  -0.08
C: 0.125 0.625 0.125  -0.08
C: 0.625 0.125 0.125  -0.08

***

Entry 10:
A relaxed Mn4BeC crystal, computed with PBE.

VASP energy	-98.8	eV/cell

Cell: 5.056 4.450 6.712 Å, 70.64 58.86 90.00°
Each line ends with the local moment (μB).
Fractional positions:
Mn: 0.228 0.491 0.831  -0.60
Mn: 0.272 0.322 0.169  -0.60
Mn: 0.772 0.509 0.169  -0.60
Mn: 0.728 0.678 0.831  -0.60
Mn: 0.247 0.082 0.626  1.29
Mn: 0.253 0.709 0.374  1.29
Mn: 0.753 0.918 0.374  1.29
Mn: 0.747 0.291 0.626  1.29
Be: 0.750 0.097 0.000  -0.01
Be: 0.250 0.903 0.000  -0.01
C: 0.500 0.500 0.500  -0.04
C: 0.000 0.000 0.500  -0.04

***

Entry 11:
A relaxed Mn2BeC crystal, computed with PBE.

energy above the most stable polymorph in this dataset	454.9	meV per atom

Cell: 3.611 3.611 3.611 Å, 60.00 60.00 60.00°
Each line ends with the local moment (μB).
Fractional positions:
Be: 0.000 0.000 0.000  -0.04
C: 0.500 0.500 0.500  -0.08
Mn: 0.250 0.250 0.250  1.41
Mn: 0.750 0.750 0.750  1.41

***

Entry 12:
A relaxed Mn2BeMoC crystal, computed with PBE.

VASP energy	-41.3	eV/cell

Cell: 3.749 3.749 4.179 Å, 90.00 90.00 90.00°
Each line ends with the local moment (μB).
Fractional positions:
Mn: 0.000 0.500 0.000  2.00
Mn: 0.500 0.000 0.000  2.00
Be: 0.500 0.500 0.499  -0.03
Mo: 0.000 0.000 0.500  0.40
C: 0.000 0.000 0.000  -0.08